Record 1
## K2CeAg3Te4 (PBE)

Data for a relaxed K2CeAg3Te4 crystal.

Geometry as POSCAR:
```
K2CeAg3Te4
1.0
17.295 0.000 0.000
0.000 4.655 0.000
0.000 0.000 15.426
K Ce Ag Te
8 4 12 16
direct
0.084 0.250 0.101 K
0.114 0.250 0.344 K
0.386 0.750 0.844 K
0.416 0.750 0.601 K
0.584 0.250 0.399 K
0.614 0.250 0.156 K
0.886 0.750 0.656 K
0.916 0.750 0.899 K
0.144 0.750 0.728 Ce
0.356 0.250 0.228 Ce
0.644 0.750 0.772 Ce
0.856 0.250 0.272 Ce
0.031 0.250 0.569 Ag
0.224 0.250 0.904 Ag
0.229 0.250 0.546 Ag
0.271 0.750 0.046 Ag
0.276 0.750 0.404 Ag
0.469 0.750 0.069 Ag
0.531 0.250 0.931 Ag
0.724 0.250 0.596 Ag
0.729 0.250 0.954 Ag
0.771 0.750 0.454 Ag
0.776 0.750 0.096 Ag
0.969 0.750 0.431 Ag
0.019 0.250 0.750 Te
0.125 0.750 0.516 Te
0.137 0.750 0.938 Te
0.226 0.750 0.223 Te
0.274 0.250 0.723 Te
0.363 0.250 0.438 Te
0.375 0.250 0.016 Te
0.481 0.750 0.250 Te
0.519 0.250 0.750 Te
0.625 0.750 0.984 Te
0.637 0.750 0.562 Te
0.726 0.750 0.277 Te
0.774 0.250 0.777 Te
0.863 0.250 0.062 Te
0.875 0.250 0.484 Te
0.981 0.750 0.250 Te
```

## Properties
E: -147.5 eV for the cell shown
M_tot: 0.98 μB per formula unit

=====

Record 2
## La2CeAg6 (PBE)

Data for a relaxed La2CeAg6 crystal.

Geometry as POSCAR:
```
La2CeAg6
1.0
8.436 0.000 0.000
-4.218 7.306 0.000
0.000 0.000 3.563
La Ce Ag
2 1 6
direct
0.333 0.667 0.000 La
0.667 0.333 0.000 La
0.000 0.000 0.000 Ce
0.000 0.332 0.500 Ag
0.000 0.668 0.500 Ag
0.332 0.000 0.500 Ag
0.332 0.332 0.500 Ag
0.668 0.000 0.500 Ag
0.668 0.668 0.500 Ag
```

## Properties
E: -35.0 eV for the cell shown
ΔE_f: -203 kJ/mol of formula units
M_tot: 1.59 μB per formula unit

=====

Record 3
## La2CeAg (PBE)

Data for a relaxed La2CeAg crystal.

Geometry as POSCAR:
```
La2CeAg
1.0
0.000 3.850 3.850
3.850 0.000 3.850
3.850 3.850 0.000
La Ce Ag
2 1 1
direct
0.250 0.250 0.250 La
0.750 0.750 0.750 La
0.000 0.000 0.000 Ce
0.500 0.500 0.500 Ag
```

## Properties
E: -18.2 eV for the cell shown
ΔE_f: 38 kJ/mol of formula units
M_tot: 2.19 μB per formula unit
relative energy among the computed polymorphs: 17.5 kJ per mole of atoms

=====

Record 4
## LaCeAg2 (PBE)

Data for a relaxed LaCeAg2 crystal.

Geometry as POSCAR:
```
LaCeAg2
1.0
3.804 0.000 0.000
0.000 3.804 0.000
0.000 0.000 7.452
La Ce Ag
1 1 2
direct
0.000 0.000 0.000 La
0.000 0.000 0.500 Ce
0.500 0.500 0.260 Ag
0.500 0.500 0.740 Ag
```

## Properties
E: -17.1 eV for the cell shown
ΔE_f: -56 kJ/mol of formula units
M_tot: 1.21 μB per formula unit

=====

Record 5
## LaCe2Ag (PBE)

Data for a relaxed LaCe2Ag crystal.

Geometry as POSCAR:
```
LaCe2Ag
1.0
0.000 3.773 3.773
3.773 0.000 3.773
3.773 3.773 0.000
La Ce Ag
1 2 1
direct
0.000 0.000 0.000 La
0.250 0.250 0.250 Ce
0.750 0.750 0.750 Ce
0.500 0.500 0.500 Ag
```

## Properties
E: -19.1 eV for the cell shown
ΔE_f: 50 kJ/mol of formula units
M_tot: 2.99 μB per formula unit
relative energy among the computed polymorphs: 8.2 kJ per mole of atoms

=====

Record 6
## La4CeAg (PBE)

Data for a relaxed La4CeAg crystal.

Geometry as POSCAR:
```
La4CeAg
1.0
3.670 0.000 0.000
0.000 3.670 0.000
0.000 0.000 14.309
La Ce Ag
4 1 1
direct
0.000 0.000 0.140 La
0.000 0.000 0.860 La
0.500 0.500 0.336 La
0.500 0.500 0.664 La
0.000 0.000 0.500 Ce
0.500 0.500 0.000 Ag
```

## Properties
E: -28.7 eV for the cell shown
ΔE_f: -24 kJ/mol of formula units
M_tot: 0.00 μB per formula unit

=====

Record 7
## LaCe2Ag (PBE)

Data for a relaxed LaCe2Ag crystal.

Geometry as POSCAR:
```
LaCe2Ag
1.0
3.621 0.000 0.000
0.000 3.621 0.000
0.000 0.000 8.723
La Ce Ag
1 2 1
direct
0.000 0.000 0.000 La
0.500 0.500 0.279 Ce
0.500 0.500 0.721 Ce
0.000 0.000 0.500 Ag
```

## Properties
E: -19.5 eV for the cell shown
ΔE_f: 17 kJ/mol of formula units
M_tot: 1.29 μB per formula unit
relative energy among the computed polymorphs: 0.0 kJ per mole of atoms

=====

Record 8
## La2CeAg (PBE)

Data for a relaxed La2CeAg crystal.

Geometry as POSCAR:
```
La2CeAg
1.0
1.820 1.051 10.814
-1.820 1.051 10.814
0.000 -2.102 10.814
La Ce Ag
2 1 1
direct
0.000 0.000 0.000 La
0.180 0.180 0.180 La
0.758 0.758 0.758 Ce
0.590 0.590 0.590 Ag
```

## Properties
E: -18.4 eV for the cell shown
ΔE_f: 23 kJ/mol of formula units
M_tot: 1.22 μB per formula unit
relative energy among the computed polymorphs: 13.8 kJ per mole of atoms

=====

Record 9
## La6CeAg5 (PBE)

Data for a relaxed La6CeAg5 crystal.

Geometry as POSCAR:
```
La6CeAg5
1.0
5.445 0.000 0.000
0.000 7.671 0.000
-2.714 0.000 8.199
La Ce Ag
6 1 5
direct
0.000 0.236 0.000 La
0.000 0.764 0.000 La
0.328 0.250 0.656 La
0.328 0.750 0.656 La
0.672 0.250 0.344 La
0.672 0.750 0.344 La
0.500 0.500 0.000 Ce
0.155 0.500 0.311 Ag
0.167 0.000 0.335 Ag
0.500 0.000 0.000 Ag
0.833 0.000 0.665 Ag
0.845 0.500 0.689 Ag
```

## Properties
E: -51.5 eV for the cell shown
ΔE_f: -169 kJ/mol of formula units
M_tot: 3.01 μB per formula unit

=====

Record 10
## La2CeAg (PBE)

Data for a relaxed La2CeAg crystal.

Geometry as POSCAR:
```
La2CeAg
1.0
3.716 0.000 0.000
0.000 3.716 0.000
0.000 0.000 8.576
La Ce Ag
2 1 1
direct
0.000 0.000 0.232 La
0.000 0.000 0.768 La
0.500 0.500 0.500 Ce
0.500 0.500 0.000 Ag
```

## Properties
E: -19.0 eV for the cell shown
ΔE_f: -32 kJ/mol of formula units
M_tot: 0.00 μB per formula unit
relative energy among the computed polymorphs: 0.0 kJ per mole of atoms

=====

Record 11
## La2CeAg (PBE)

Data for a relaxed La2CeAg crystal.

Geometry as POSCAR:
```
La2CeAg
1.0
1.686 0.973 11.696
-1.686 0.973 11.696
0.000 -1.946 11.696
La Ce Ag
2 1 1
direct
0.091 0.091 0.091 La
0.909 0.909 0.909 La
0.000 0.000 0.000 Ce
0.500 0.500 0.500 Ag
```

## Properties
E: -18.0 eV for the cell shown
ΔE_f: 66 kJ/mol of formula units
M_tot: 0.24 μB per formula unit
relative energy among the computed polymorphs: 24.7 kJ per mole of atoms

=====

Record 12
## LiLaCeAg (PBE)

Data for a relaxed LiLaCeAg crystal.

Geometry as POSCAR:
```
LiLaCeAg
1.0
0.000 3.781 3.781
3.781 0.000 3.781
3.781 3.781 0.000
Li La Ce Ag
1 1 1 1
direct
0.000 0.000 0.000 Li
0.750 0.750 0.750 La
0.250 0.250 0.250 Ce
0.500 0.500 0.500 Ag
```

## Properties
E: -15.4 eV for the cell shown
ΔE_f: 21 kJ/mol of formula units
M_tot: 1.65 μB per formula unit

=====

Record 13
## LaCeAgOs (PBE)

Data for a relaxed LaCeAgOs crystal.

Geometry as POSCAR:
```
LaCeAgOs
1.0
0.000 3.620 3.620
3.620 0.000 3.620
3.620 3.620 0.000
La Ce Ag Os
1 1 1 1
direct
0.000 0.000 0.000 La
0.500 0.500 0.500 Ce
0.250 0.250 0.250 Ag
0.750 0.750 0.750 Os
```

## Properties
E: -25.2 eV for the cell shown
ΔE_f: -26 kJ/mol of formula units
M_tot: 0.67 μB per formula unit

=====

Record 14
## LaCeAgPb (PBE)

Data for a relaxed LaCeAgPb crystal.

Geometry as POSCAR:
```
LaCeAgPb
1.0
0.000 3.895 3.895
3.895 0.000 3.895
3.895 3.895 0.000
La Ce Ag Pb
1 1 1 1
direct
0.000 0.000 0.000 La
0.500 0.500 0.500 Ce
0.750 0.750 0.750 Ag
0.250 0.250 0.250 Pb
```

## Properties
E: -18.8 eV for the cell shown
ΔE_f: -129 kJ/mol of formula units
M_tot: 2.11 μB per formula unit

=====

Record 15
## LaCeAgPd (PBE)

Data for a relaxed LaCeAgPd crystal.

Geometry as POSCAR:
```
LaCeAgPd
1.0
0.000 3.702 3.702
3.702 0.000 3.702
3.702 3.702 0.000
La Ce Ag Pd
1 1 1 1
direct
0.000 0.000 0.000 La
0.500 0.500 0.500 Ce
0.250 0.250 0.250 Ag
0.750 0.750 0.750 Pd
```

## Properties
E: -20.4 eV for the cell shown
ΔE_f: -149 kJ/mol of formula units
M_tot: 1.13 μB per formula unit

=====

Record 16
## LaCePmAg (PBE)

Data for a relaxed LaCePmAg crystal.

Geometry as POSCAR:
```
LaCePmAg
1.0
0.000 3.830 3.830
3.830 0.000 3.830
3.830 3.830 0.000
La Ce Pm Ag
1 1 1 1
direct
0.000 0.000 0.000 La
0.750 0.750 0.750 Ce
0.500 0.500 0.500 Pm
0.250 0.250 0.250 Ag
```

## Properties
E: -18.0 eV for the cell shown
ΔE_f: 44 kJ/mol of formula units
M_tot: 2.51 μB per formula unit

=====

Record 17
## LaCeAgPt (PBE)

Data for a relaxed LaCeAgPt crystal.

Geometry as POSCAR:
```
LaCeAgPt
1.0
0.000 3.686 3.686
3.686 0.000 3.686
3.686 3.686 0.000
La Ce Ag Pt
1 1 1 1
direct
0.000 0.000 0.000 La
0.500 0.500 0.500 Ce
0.750 0.750 0.750 Ag
0.250 0.250 0.250 Pt
```

## Properties
E: -22.0 eV for the cell shown
ΔE_f: -221 kJ/mol of formula units
M_tot: 1.02 μB per formula unit

=====

Record 18
## LaCeAgRh (PBE)

Data for a relaxed LaCeAgRh crystal.

Geometry as POSCAR:
```
LaCeAgRh
1.0
0.000 3.649 3.649
3.649 0.000 3.649
3.649 3.649 0.000
La Ce Ag Rh
1 1 1 1
direct
0.000 0.000 0.000 La
0.500 0.500 0.500 Ce
0.750 0.750 0.750 Ag
0.250 0.250 0.250 Rh
```

## Properties
E: -22.6 eV for the cell shown
ΔE_f: -144 kJ/mol of formula units
M_tot: 0.89 μB per formula unit

=====

Record 19
## La2CeAgSe5 (PBE)

Data for a relaxed La2CeAgSe5 crystal.

Geometry as POSCAR:
```
La2CeAgSe5
1.0
2.121 -8.864 0.000
2.121 8.864 0.000
0.000 0.000 12.723
La Ce Ag Se
4 2 2 10
direct
0.112 0.888 0.500 La
0.123 0.877 0.123 La
0.877 0.123 0.623 La
0.888 0.112 0.000 La
0.196 0.804 0.823 Ce
0.804 0.196 0.323 Ce
0.451 0.549 0.273 Ag
0.549 0.451 0.773 Ag
0.044 0.956 0.891 Se
0.290 0.710 0.485 Se
0.308 0.692 0.159 Se
0.362 0.638 0.816 Se
0.497 0.503 0.584 Se
0.503 0.497 0.084 Se
0.638 0.362 0.316 Se
0.692 0.308 0.659 Se
0.710 0.290 0.985 Se
0.956 0.044 0.391 Se
```

## Properties
E: -101.3 eV for the cell shown
M_tot: 0.85 μB per formula unit

=====

Record 20
## LaCeSmAg (PBE)

Data for a relaxed LaCeSmAg crystal.

Geometry as POSCAR:
```
LaCeSmAg
1.0
0.000 3.825 3.825
3.825 0.000 3.825
3.825 3.825 0.000
La Ce Sm Ag
1 1 1 1
direct
0.000 0.000 0.000 La
0.250 0.250 0.250 Ce
0.500 0.500 0.500 Sm
0.750 0.750 0.750 Ag
```

## Properties
E: -18.0 eV for the cell shown
ΔE_f: 44 kJ/mol of formula units
M_tot: 2.60 μB per formula unit